[1]
Compound: Y2Fe
Source: Alexandria via LeMat-Bulk
Functional: PBE-GGA
Structure: optimized geometry

a = 3.5914 Å, b = 12.3668 Å, c = 6.6272 Å
α = 90.00°, β = 90.00°, γ = 90.00°
Space group Cmc2_1 (No. 36)
Symmetry-distinct sites (fractional):
Y 0.0000 0.0179 0.0000 x4
Y 0.0000 0.2786 0.1876 x4
Fe 0.0000 0.3856 0.7845 x4

Properties
**Formation enthalpy at 0 K**: 0.13 eV per atom
**Raw total energy**: -0.2573 Ha/atom
**Mass density**: 5.27 g/cm3
**Size of the total moment**: 0.66 μB/f.u.

=====

[2]
Compound: Y2Fe
Source: Alexandria via LeMat-Bulk
Functional: PBE-GGA
Structure: optimized geometry

a = 3.3467 Å, b = 3.3467 Å, c = 12.8581 Å
α = 90.00°, β = 90.00°, γ = 90.00°
Space group I4/mmm (No. 139)
Symmetry-distinct sites (fractional):
Y 0.0000 0.0000 0.1256 x4
Fe 0.0000 0.0000 0.5000 x2

Properties
**Formation enthalpy at 0 K**: 0.07 eV per atom
**Raw total energy**: -0.2593 Ha/atom
**Mass density**: 5.39 g/cm3
**Size of the total moment**: 0.00 μB/f.u.

=====

[3]
Compound: Y2Fe
Source: Alexandria via LeMat-Bulk
Functional: PBE-GGA
Structure: optimized geometry

a = 3.3164 Å, b = 3.3164 Å, c = 26.7737 Å
α = 90.00°, β = 90.00°, γ = 90.00°
Space group I4_1/amd (No. 141, origin choice 2)
Symmetry-distinct sites (fractional):
Y 0.0000 0.2500 0.3145 x8
Fe 0.0000 0.2500 0.8750 x4

Properties
**Formation enthalpy at 0 K**: 0.12 eV per atom
**Raw total energy**: -0.2576 Ha/atom
**Mass density**: 5.27 g/cm3
**Size of the total moment**: 0.00 μB/f.u.

=====

[4]
Compound: Y2Fe
Source: Alexandria via LeMat-Bulk
Functional: PBE-GGA
Structure: optimized geometry

a = 6.5317 Å, b = 6.6196 Å, c = 3.5094 Å
α = 90.00°, β = 90.00°, γ = 90.00°
Space group Pnnm (No. 58)
Symmetry-distinct sites (fractional):
Y 0.2316 0.1747 0.0000 x4
Fe 0.0000 0.5000 0.0000 x2

Properties
**Formation enthalpy at 0 K**: 0.19 eV per atom
**Raw total energy**: -0.2552 Ha/atom
**Mass density**: 5.11 g/cm3
**Size of the total moment**: 0.00 μB/f.u.